DFT (PBE) results for a relaxed structure of Zr5Sc5Ge6.

Unit cell a=5.7088 b=8.0099 c=8.0099 alpha=119.73 beta=90.00 gamma=90.00
Sites, in units of the cell vectors:
Zr 0.0000 0.7521 0.9987
Zr 0.0000 0.9987 0.7521
Zr 0.5000 0.7527 0.7527
Zr 0.5000 0.2458 0.9993
Zr 0.5000 0.9993 0.2458
Sc 0.7490 0.3337 0.6679
Sc 0.7490 0.6679 0.3337
Sc 0.2510 0.6679 0.3337
Sc 0.2510 0.3337 0.6679
Sc 0.0000 0.2488 0.2488
Ge 0.0000 0.6077 0.6077
Ge 0.0000 0.3905 0.0017
Ge 0.0000 0.0017 0.3905
Ge 0.5000 0.3902 0.3902
Ge 0.5000 0.6093 0.0000
Ge 0.5000 0.0000 0.6093

Results
Magnetization (μB per formula unit): 0.00
Calculated formation energy (meV per atom): -810.1
Mass density (g cm⁻³): 5.8